(1)
A plane-wave DFT calculation with GGA-PBE was carried out for Pu2AsF4 after structural relaxation.

Properties
formation energy from raw total energies = -272.52 kJ/mol of atoms
calculated density = 9.82 Mg/m³
V = 216.0 Å³/cell

Unit cell a=7.4799 b=7.4799 c=3.8603 alpha=90.00 beta=90.00 gamma=90.00
Closest atoms and distances in Å follow each position.
Space group P4_2/mnm (No. 136)
Inequivalent atoms, fractional coordinates:
Pu: 0.2175 0.2175 0.0000 [4 per cell]  6 F 2.44-2.46
As: 0.0000 0.0000 0.5000 [2 per cell]  6 Pu 2.99-3.00, 12 F 3.23-3.31
F: 0.0898 0.6662 0.0000 [8 per cell]  3 Pu 2.44-2.46, 1 F 2.58

(2)
A plane-wave DFT calculation with GGA-PBE was carried out for Pu2AsF2 after structural relaxation.

Properties
formation energy from raw total energies = -215.72 kJ/mol of atoms
calculated density = 9.68 Mg/m³
V = 309.1 Å³/cell

Unit cell a=3.9438 b=3.9438 c=22.9488 alpha=90.00 beta=90.00 gamma=120.00
Closest atoms and distances in Å follow each position.
Space group R-3m (No. 166, hexagonal axes)
Inequivalent atoms, fractional coordinates:
Pu: 0.0000 0.0000 0.0884 [6 per cell]  3 F 2.47
As: 0.0000 0.0000 0.5000 [3 per cell]  6 Pu 2.90
F: 0.0000 0.0000 0.2866 [6 per cell]  3 Pu 2.47

(3)
A plane-wave DFT calculation with GGA-PBE was carried out for Pu4AsF6 after structural relaxation.

Properties
formation energy from raw total energies = -134.42 kJ/mol of atoms
calculated density = 7.94 Mg/m³
V = 243.8 Å³/cell

Unit cell a=9.3955 b=9.3955 c=3.1884 alpha=90.00 beta=90.00 gamma=120.00
Closest atoms and distances in Å follow each position.
Space group P-6m2 (No. 187)
Inequivalent atoms, fractional coordinates:
Pu: 0.0000 0.0000 0.0000 [1 per cell]  6 Pu 2.52
Pu: 0.1203 0.2406 0.5000 [3 per cell]  1 F 1.98
As: 0.6667 0.3333 0.0000 [1 per cell]  3 F 1.93
F: 0.2417 0.4835 0.5000 [3 per cell]  1 Pu 1.98
F: 0.5480 0.0960 0.0000 [3 per cell]  1 As 1.93

(4)
A plane-wave DFT calculation with GGA-PBE was carried out for PuAsF after structural relaxation.

Properties
offset from the most stable computed form = 0 meV per atom
formation energy from raw total energies = -176.99 kJ/mol of atoms
calculated density = 9.78 Mg/m³
V = 57.4 Å³/cell

Unit cell a=4.0556 b=4.0556 c=4.0297 alpha=90.00 beta=90.00 gamma=120.00
Closest atoms and distances in Å follow each position.
Space group P-6m2 (No. 187)
Inequivalent atoms, fractional coordinates:
Pu: 0.0000 0.0000 0.0000 [1 per cell]  3 F 2.34
As: 0.6667 0.3333 0.5000 [1 per cell]  6 Pu 3.09, 6 F 3.09
F: 0.3333 0.6667 0.0000 [1 per cell]  3 Pu 2.34